Below is a relaxed structure of HfFeSbI2, with properties calculated at the GGA-PBE level. Values from VASP.

```
&SYSTEM
  ibrav = 0, nat = 5, ntyp = 4
/
ATOMIC_SPECIES
Hf 178.49 Hf.upf
Fe 55.84 Fe.upf
Sb 121.76 Sb.upf
I 126.90 I.upf
CELL_PARAMETERS angstrom
5.583 0.000 0.000
0.000 5.583 0.000
0.000 0.000 5.741
ATOMIC_POSITIONS angstrom
Hf 0.000 0.000 0.000
Fe 2.792 2.792 2.870
Sb 0.000 0.000 2.870
I 0.000 2.792 0.000
I 2.792 0.000 0.000
```

## Properties
total energy = -4.488 eV/atom
volume = 178.95 Å³/f.u.
energy relative to the elements, uncorrected = 0.64 eV per atom